Compound: NaMoPtO6
Source: Alexandria via LeMat-Bulk
Functional: PBE+U
Structure: optimized geometry

POSCAR file:
```
NaMoPtO6
1.0
-2.4445 -3.6739 2.9390
0.5251 -0.7062 -5.2285
8.9476 -4.7240 1.5367
Na Mo Pt O
2 2 2 12
direct
0.0000 0.0000 0.0000
0.0000 0.0000 0.5000
0.6667 0.3333 0.2500
0.3333 0.6667 0.7500
0.3333 0.6667 0.2500
0.6667 0.3333 0.7500
0.6269 0.6201 0.1455
0.9932 0.3731 0.1455
0.3731 0.9932 0.6455
0.0068 0.6269 0.8545
0.3799 0.3731 0.3545
0.9932 0.6201 0.3545
0.6201 0.9932 0.8545
0.6269 0.0068 0.3545
0.0068 0.3799 0.6455
0.3799 0.0068 0.1455
0.6201 0.6269 0.6455
0.3731 0.3799 0.8545
```

Computed properties:
E_tot: -108.0 eV per cell
Volume: 13.842 A^3/atom